VASP calculation (meta-GGA SCAN) on a PBEsol-optimized structure of BeHg2Rh.

## Properties
Its density of states at the Fermi level is 1.445 states/eV per cell. Its total energy is -173.62 eV per cell. The calculation puts the energy relative to the elements at 0.21 eV/atom.

Geometry as CIF:
```
data_BeHg2Rh
_chemical_formula_sum 'Be1 Hg2 Rh1'
_space_group_name_H-M_alt 'P 4/m m m'
_space_group_IT_number 123
_space_group_name_Hall '-P 4 2'
_cell_length_a 4.0499
_cell_length_b 4.0499
_cell_length_c 3.8200
_cell_angle_alpha 90.00
_cell_angle_beta 90.00
_cell_angle_gamma 90.00
loop_
_atom_site_label
_atom_site_type_symbol
_atom_site_fract_x
_atom_site_fract_y
_atom_site_fract_z
Be1 Be 0.0000 0.0000 0.0000
Hg1 Hg 0.0000 0.5000 0.5000
Rh1 Rh 0.5000 0.5000 0.0000
```

VASP calculation (meta-GGA SCAN) on a PBEsol-optimized structure of BeHgRh3.

## Properties
Its density of states at the Fermi level is 3.899 states/eV per cell. Its total energy is -173.03 eV per cell. The calculation puts the energy relative to the elements at 0.16 eV/atom.

Geometry as CIF:
```
data_BeHgRh3
_chemical_formula_sum 'Be1 Hg1 Rh3'
_space_group_name_H-M_alt 'P m -3 m'
_space_group_IT_number 221
_space_group_name_Hall '-P 4 2 3'
_cell_length_a 4.1317
_cell_length_b 4.1317
_cell_length_c 4.1317
_cell_angle_alpha 90.00
_cell_angle_beta 90.00
_cell_angle_gamma 90.00
loop_
_atom_site_label
_atom_site_type_symbol
_atom_site_fract_x
_atom_site_fract_y
_atom_site_fract_z
Be1 Be 0.0000 0.0000 0.0000
Hg1 Hg 0.5000 0.5000 0.5000
Rh1 Rh 0.0000 0.0000 0.5000
```

VASP calculation (meta-GGA SCAN) on a PBEsol-optimized structure of BeHg2Rh.

## Properties
Its density of states at the Fermi level is 3.118 states/eV per cell. Its total energy is -348.33 eV per cell. The calculation puts the energy relative to the elements at 0.07 eV/atom.

Geometry as CIF:
```
data_BeHg2Rh
_chemical_formula_sum 'Be2 Hg4 Rh2'
_space_group_name_H-M_alt 'I m m 2'
_space_group_IT_number 44
_cell_length_a 3.1230
_cell_length_b 4.3677
_cell_length_c 9.1974
_cell_angle_alpha 90.00
_cell_angle_beta 90.00
_cell_angle_gamma 90.00
loop_
_space_group_symop_operation_xyz
'x,y,z'
'-x,-y,z'
'-x,y,z'
'x,-y,z'
'x+1/2,y+1/2,z+1/2'
'-x+1/2,-y+1/2,z+1/2'
'-x+1/2,y+1/2,z+1/2'
'x+1/2,-y+1/2,z+1/2'
loop_
_atom_site_label
_atom_site_type_symbol
_atom_site_fract_x
_atom_site_fract_y
_atom_site_fract_z
Be1 Be 0.0000 0.0000 0.0000
Hg1 Hg 0.0000 0.0000 0.5377
Hg2 Hg 0.0000 0.5000 0.7474
Rh1 Rh 0.0000 0.5000 0.3276
```

VASP calculation (meta-GGA SCAN) on a PBEsol-optimized structure of BeHgRh.

## Properties
Its density of states at the Fermi level is 0.788 states/eV per cell. Its total energy is -106.43 eV per cell. The calculation puts the energy relative to the elements at -0.05 eV/atom.

Geometry as CIF:
```
data_BeHgRh
_chemical_formula_sum 'Be1 Hg1 Rh1'
_space_group_name_H-M_alt 'P -6 m 2'
_space_group_IT_number 187
_space_group_name_Hall 'P -6 2'
_cell_length_a 3.9296
_cell_length_b 3.9296
_cell_length_c 3.2003
_cell_angle_alpha 90.00
_cell_angle_beta 90.00
_cell_angle_gamma 120.00
loop_
_atom_site_label
_atom_site_type_symbol
_atom_site_fract_x
_atom_site_fract_y
_atom_site_fract_z
Be1 Be 0.0000 0.0000 0.0000
Hg1 Hg 0.6667 0.3333 0.5000
Rh1 Rh 0.3333 0.6667 0.0000
```

VASP calculation (meta-GGA SCAN) on a PBEsol-optimized structure of Be2HgRu.

## Properties
Its density of states at the Fermi level is 2.028 states/eV per cell. Its total energy is -111.37 eV per cell. The calculation puts the energy relative to the elements at 0.08 eV/atom.

Geometry as CIF:
```
data_Be2HgRu
_chemical_formula_sum 'Be2 Hg1 Ru1'
_space_group_name_H-M_alt 'P 4 m m'
_space_group_IT_number 99
_cell_length_a 2.9296
_cell_length_b 2.9296
_cell_length_c 5.8222
_cell_angle_alpha 90.00
_cell_angle_beta 90.00
_cell_angle_gamma 90.00
loop_
_space_group_symop_operation_xyz
'x,y,z'
'-y,x,z'
'-x,-y,z'
'y,-x,z'
'-x,y,z'
'y,x,z'
'x,-y,z'
'-y,-x,z'
loop_
_atom_site_label
_atom_site_type_symbol
_atom_site_fract_x
_atom_site_fract_y
_atom_site_fract_z
Be1 Be 0.0000 0.0000 0.0000
Be2 Be 0.5000 0.5000 0.2030
Hg1 Hg 0.0000 0.0000 0.4804
Ru1 Ru 0.5000 0.5000 0.8228
```

VASP calculation (meta-GGA SCAN) on a PBEsol-optimized structure of BeHgRu2.

## Properties
Its density of states at the Fermi level is 5.165 states/eV per cell. Its total energy is -280.59 eV per cell. The calculation puts the energy relative to the elements at 0.47 eV/atom.

Geometry as CIF:
```
data_BeHgRu2
_chemical_formula_sum 'Be2 Hg2 Ru4'
_space_group_name_H-M_alt 'C m m 2'
_space_group_IT_number 35
_cell_length_a 2.8251
_cell_length_b 4.6857
_cell_length_c 8.6249
_cell_angle_alpha 90.00
_cell_angle_beta 90.00
_cell_angle_gamma 90.00
loop_
_space_group_symop_operation_xyz
'x,y,z'
'-x,-y,z'
'-x,y,z'
'x,-y,z'
'x+1/2,y+1/2,z'
'-x+1/2,-y+1/2,z'
'-x+1/2,y+1/2,z'
'x+1/2,-y+1/2,z'
loop_
_atom_site_label
_atom_site_type_symbol
_atom_site_fract_x
_atom_site_fract_y
_atom_site_fract_z
Be1 Be 0.0000 0.0000 0.0000
Hg1 Hg 0.0000 0.5000 0.2555
Ru1 Ru 0.0000 0.0000 0.5448
Ru2 Ru 0.0000 0.5000 0.7930
```

VASP calculation (meta-GGA SCAN) on a PBEsol-optimized structure of Be2HgRu.

## Properties
Its density of states at the Fermi level is 1.122 states/eV per cell. Its total energy is -223.05 eV per cell. The calculation puts the energy relative to the elements at 0.04 eV/atom.

Geometry as CIF:
```
data_Be2HgRu
_chemical_formula_sum 'Be4 Hg2 Ru2'
_space_group_name_H-M_alt 'I m m 2'
_space_group_IT_number 44
_cell_length_a 3.1739
_cell_length_b 3.4159
_cell_length_c 9.3757
_cell_angle_alpha 90.00
_cell_angle_beta 90.00
_cell_angle_gamma 90.00
loop_
_space_group_symop_operation_xyz
'x,y,z'
'-x,-y,z'
'-x,y,z'
'x,-y,z'
'x+1/2,y+1/2,z+1/2'
'-x+1/2,-y+1/2,z+1/2'
'-x+1/2,y+1/2,z+1/2'
'x+1/2,-y+1/2,z+1/2'
loop_
_atom_site_label
_atom_site_type_symbol
_atom_site_fract_x
_atom_site_fract_y
_atom_site_fract_z
Be1 Be 0.0000 0.0000 0.0000
Be2 Be 0.0000 0.5000 0.1940
Hg1 Hg 0.0000 0.5000 0.7732
Ru1 Ru 0.0000 0.0000 0.5209
```

VASP calculation (meta-GGA SCAN) on a PBEsol-optimized structure of BeHg2Ru.

## Properties
Its density of states at the Fermi level is 4.772 states/eV per cell. Its total energy is -346.64 eV per cell. The calculation puts the energy relative to the elements at 0.55 eV/atom.

Geometry as CIF:
```
data_BeHg2Ru
_chemical_formula_sum 'Be2 Hg4 Ru2'
_space_group_name_H-M_alt 'I 4/m m m'
_space_group_IT_number 139
_space_group_name_Hall '-I 4 2'
_cell_length_a 3.8938
_cell_length_b 3.8938
_cell_length_c 8.3886
_cell_angle_alpha 90.00
_cell_angle_beta 90.00
_cell_angle_gamma 90.00
loop_
_atom_site_label
_atom_site_type_symbol
_atom_site_fract_x
_atom_site_fract_y
_atom_site_fract_z
Be1 Be 0.0000 0.0000 0.0000
Hg1 Hg 0.0000 0.5000 0.2500
Ru1 Ru 0.0000 0.0000 0.5000
```

VASP calculation (meta-GGA SCAN) on a PBEsol-optimized structure of BeHg2Ru.

## Properties
Its density of states at the Fermi level is 2.139 states/eV per cell. Its total energy is -173.29 eV per cell. The calculation puts the energy relative to the elements at 0.56 eV/atom.

Geometry as CIF:
```
data_BeHg2Ru
_chemical_formula_sum 'Be1 Hg2 Ru1'
_space_group_name_H-M_alt 'P 4/m m m'
_space_group_IT_number 123
_space_group_name_Hall '-P 4 2'
_cell_length_a 3.1215
_cell_length_b 3.1215
_cell_length_c 6.3175
_cell_angle_alpha 90.00
_cell_angle_beta 90.00
_cell_angle_gamma 90.00
loop_
_atom_site_label
_atom_site_type_symbol
_atom_site_fract_x
_atom_site_fract_y
_atom_site_fract_z
Be1 Be 0.0000 0.0000 0.0000
Hg1 Hg 0.5000 0.5000 0.2305
Ru1 Ru 0.0000 0.0000 0.5000
```

VASP calculation (meta-GGA SCAN) on a PBEsol-optimized structure of BeHg2Ru.

## Properties
Its density of states at the Fermi level is 1.988 states/eV per cell. Its total energy is -173.77 eV per cell. The calculation puts the energy relative to the elements at 0.43 eV/atom.

Geometry as CIF:
```
data_BeHg2Ru
_chemical_formula_sum 'Be1 Hg2 Ru1'
_space_group_name_H-M_alt 'P 4/m m m'
_space_group_IT_number 123
_space_group_name_Hall '-P 4 2'
_cell_length_a 3.9599
_cell_length_b 3.9599
_cell_length_c 3.9895
_cell_angle_alpha 90.00
_cell_angle_beta 90.00
_cell_angle_gamma 90.00
loop_
_atom_site_label
_atom_site_type_symbol
_atom_site_fract_x
_atom_site_fract_y
_atom_site_fract_z
Be1 Be 0.0000 0.0000 0.0000
Hg1 Hg 0.0000 0.5000 0.5000
Ru1 Ru 0.5000 0.5000 0.0000
```